(1)
A plane-wave DFT calculation with GGA-PBE was carried out for crystalline PmNd2Tm3 at its relaxed geometry.

- electronic total energy (eV for the cell shown) = -53.97
- spin magnetization (μB/cell) = 0.00
- theoretical density (Mg/m³) = 7.890
- energy of formation (meV/atom) = 119
- space-group type = C2/m (12)

POSCAR file:
```
PmNd2Tm3
1.0
8.927 -1.754 0.000
8.927 1.754 0.000
-6.550 0.000 12.640
Pm Nd Tm
2 4 6
direct
0.063 0.063 0.144 Pm
0.937 0.937 0.856 Pm
0.156 0.156 0.967 Nd
0.319 0.319 0.618 Nd
0.681 0.681 0.382 Nd
0.844 0.844 0.033 Nd
0.098 0.098 0.526 Tm
0.236 0.236 0.792 Tm
0.460 0.460 0.294 Tm
0.540 0.540 0.706 Tm
0.764 0.764 0.208 Tm
0.902 0.902 0.474 Tm
```



(2)
A plane-wave DFT calculation with GGA-PBE was carried out for crystalline Rb2CdSn at its relaxed geometry.

- electronic total energy (eV for the cell shown) = -12.40
- spin magnetization (μB/cell) = 0.44
- theoretical density (Mg/m³) = 3.799
- energy of formation (meV/atom) = 163
- space-group type = I-42d (122)

POSCAR file:
```
Rb2CdSn
1.0
-5.131 5.131 3.338
5.131 -5.131 3.338
5.131 5.131 -3.338
Rb Cd Sn
4 2 2
direct
0.114 0.625 0.989 Rb
0.375 0.364 0.489 Rb
0.636 0.125 0.011 Rb
0.875 0.886 0.511 Rb
0.000 0.000 0.000 Cd
0.750 0.250 0.500 Cd
0.250 0.750 0.500 Sn
0.500 0.500 0.000 Sn
```



(3)
A plane-wave DFT calculation with GGA-PBE was carried out for crystalline La11Sm4Dy9 at its relaxed geometry.

- electronic total energy (eV for the cell shown) = -112.88
- spin magnetization (μB/cell) = 0.00
- theoretical density (Mg/m³) = 7.141
- energy of formation (meV/atom) = 67
- space-group type = Cmmm (65)

POSCAR file:
```
La11Sm4Dy9
1.0
8.612 -12.978 0.000
8.612 12.978 0.000
0.000 0.000 3.737
La Sm Dy
11 4 9
direct
0.000 0.000 0.000 La
0.045 0.406 0.000 La
0.159 0.841 0.000 La
0.292 0.292 0.000 La
0.367 0.633 0.000 La
0.406 0.045 0.000 La
0.594 0.955 0.000 La
0.633 0.367 0.000 La
0.708 0.708 0.000 La
0.841 0.159 0.000 La
0.955 0.594 0.000 La
0.243 0.445 0.500 Sm
0.445 0.243 0.500 Sm
0.555 0.757 0.500 Sm
0.757 0.555 0.500 Sm
0.067 0.212 0.500 Dy
0.165 0.633 0.500 Dy
0.212 0.067 0.500 Dy
0.367 0.835 0.500 Dy
0.500 0.500 0.500 Dy
0.633 0.165 0.500 Dy
0.788 0.933 0.500 Dy
0.835 0.367 0.500 Dy
0.933 0.788 0.500 Dy
```



(4)
A plane-wave DFT calculation with GGA-PBE was carried out for crystalline TmTh2Te at its relaxed geometry.

- electronic total energy (eV for the cell shown) = -23.61
- spin magnetization (μB/cell) = 0.25
- theoretical density (Mg/m³) = 9.700
- space-group type = R-3m (166)
- E_form (uncorrected) (eV/atom) = -0.2901

POSCAR file:
```
TmTh2Te
1.0
1.893 1.093 10.487
-1.893 1.093 10.487
0.000 -2.186 10.487
Tm Th Te
1 2 1
direct
0.000 0.000 0.000 Tm
0.243 0.243 0.243 Th
0.757 0.757 0.757 Th
0.500 0.500 0.500 Te
```